3
Lattice="2.4051 0.0000 0.0000 0.0000 3.6285 0.0000 -1.2026 -1.8142 3.6316" Properties=species:S:1:pos:R:3 comment="LiNi2 (SCAN, single point on PBEsol structure)" formation_energy_ev_per_atom=0.0934 magmom_total_mub_per_atom=0.407 spacegroup="No. 71" pbc="T T T"
Ni 0.0000 0.0000 2.3771
Ni 1.2026 1.8142 1.2545
Li 0.0000 0.0000 0.0000